# 1
! Li3Y3CrS8, optimized geometry, DFT PBE; values from VASP
! Size of the total moment = 2.1 μB/cell
! ΔE_f (raw) = -1.529 eV per atom
&SYSTEM
  ibrav = 0, nat = 15, ntyp = 4
/
ATOMIC_SPECIES
Li 6.94 Li.upf
Y 88.91 Y.upf
Cr 52.00 Cr.upf
S 32.06 S.upf
ATOMIC_POSITIONS crystal
Li 0.000 0.000 0.000
Li 0.000 0.500 0.000
Li 0.500 0.500 0.000
Y 0.500 0.000 0.500
Y 0.500 0.500 0.500
Y 0.000 0.500 0.500
Cr 0.000 0.000 0.500
S 0.248 0.496 0.244
S 0.752 0.504 0.756
S 0.773 0.545 0.266
S 0.227 0.455 0.734
S 0.773 0.994 0.266
S 0.227 0.006 0.734
S 0.221 0.994 0.266
S 0.779 0.006 0.734
CELL_PARAMETERS angstrom
-3.729 6.264 -2.330
-1.975 -3.411 6.560
6.567 3.699 -0.565

=====

# 2
! BaScAg2, optimized geometry, DFT PBE; values from VASP
! Size of the total moment = 0.0 μB/cell
! E_form = -4 meV per atom
! Offset from the most stable computed form = 170 meV per atom
&SYSTEM
  ibrav = 0, nat = 4, ntyp = 3
/
ATOMIC_SPECIES
Ag 107.87 Ag.upf
Ba 137.33 Ba.upf
Sc 44.96 Sc.upf
ATOMIC_POSITIONS crystal
Ag 0.000 0.000 0.007
Ag 0.500 0.500 0.188
Ba 0.000 0.000 0.467
Sc 0.500 0.500 0.838
CELL_PARAMETERS angstrom
3.709 0.000 0.000
0.000 3.705 0.000
0.000 0.000 8.013

=====

# 3
! CsK3In, optimized geometry, DFT PBE; values from VASP
! Size of the total moment = 0.0 μB/cell
! E_form = -16 meV per atom
! Offset from the most stable computed form = 0 meV per atom
&SYSTEM
  ibrav = 0, nat = 20, ntyp = 3
/
ATOMIC_SPECIES
Cs 132.91 Cs.upf
K 39.10 K.upf
In 114.82 In.upf
ATOMIC_POSITIONS crystal
Cs 0.901 0.622 0.220
Cs 0.099 0.378 0.780
Cs 0.401 0.378 0.280
Cs 0.599 0.622 0.720
K 0.183 0.978 0.276
K 0.817 0.022 0.724
K 0.683 0.022 0.224
K 0.317 0.978 0.776
K 0.492 0.808 0.444
K 0.508 0.192 0.556
K 0.992 0.192 0.056
K 0.008 0.808 0.944
K 0.051 0.706 0.544
K 0.949 0.294 0.456
K 0.551 0.294 0.956
K 0.449 0.706 0.044
In 0.142 0.035 0.552
In 0.858 0.965 0.448
In 0.642 0.965 0.948
In 0.358 0.035 0.052
CELL_PARAMETERS angstrom
8.833 0.000 0.000
0.000 10.596 -3.949
0.000 1.158 13.806